Here is LaPt2Cl2 after structural relaxation from the Alexandria database. Energies are from PBE.

Properties
Formation energy from raw total energies, eV per atom: -0.7682
Magnetic moment, μB per cell: 0.0
ΔE to the lowest computed polymorph, meV per atom: 0
DOS(E_F), states/eV/f.u.: 6.0

The structure in POSCAR format:
```
LaPt2Cl2
1.0
-2.358 1.217 2.425
1.445 -2.156 2.488
6.098 6.971 5.096
Pt Cl La
2 2 1
direct
0.750 0.250 0.500 Pt
0.250 0.750 0.500 Pt
0.423 0.423 0.155 Cl
0.577 0.577 0.845 Cl
0.000 0.000 0.000 La
```


Here is LaPt2Cl after structural relaxation from the Alexandria database. Energies are from PBE.

Properties
Formation energy from raw total energies, eV per atom: -0.9154
Magnetic moment, μB per cell: 0.0
ΔE to the lowest computed polymorph, meV per atom: 176
DOS(E_F), states/eV/f.u.: 3.0

The structure in POSCAR format:
```
LaPt2Cl
1.0
3.697 0.000 0.000
0.000 3.698 0.000
0.000 0.000 7.502
Cl Pt La
1 2 1
direct
0.000 0.000 0.569 Cl
0.500 0.500 0.115 Pt
0.000 0.000 0.047 Pt
0.500 0.500 0.769 La
```


Here is La6PtCl8 after structural relaxation from the Alexandria database. Energies are from PBE.

Properties
Formation energy from raw total energies, eV per atom: -1.8584
Magnetic moment, μB per cell: 0.9
DOS(E_F), states/eV/f.u.: 7.7

The structure in POSCAR format:
```
La6PtCl8
1.0
6.882 0.000 2.261
3.070 6.160 2.261
0.194 0.120 11.015
Cl La Pt
8 6 1
direct
0.561 0.890 0.329 Cl
0.333 0.333 0.000 Cl
0.110 0.780 0.671 Cl
0.890 0.220 0.329 Cl
0.439 0.110 0.671 Cl
0.220 0.561 0.329 Cl
0.780 0.439 0.671 Cl
0.667 0.667 0.000 Cl
0.725 0.055 0.834 La
0.275 0.945 0.166 La
0.386 0.725 0.834 La
0.055 0.386 0.834 La
0.614 0.275 0.166 La
0.945 0.614 0.166 La
0.000 0.000 0.000 Pt
```


Here is LaPtCl3 after structural relaxation from the Alexandria database. Energies are from PBE.

Properties
Formation energy from raw total energies, eV per atom: -0.6918
Magnetic moment, μB per cell: 0.6
DOS(E_F), states/eV/f.u.: 7.5

The structure in POSCAR format:
```
LaPtCl3
1.0
-2.184 4.465 0.081
-4.318 -2.135 1.228
1.138 0.469 4.816
La Pt Cl
1 1 3
direct
0.500 0.500 0.500 La
0.000 0.000 0.000 Pt
0.000 0.500 0.000 Cl
0.500 0.000 0.000 Cl
0.000 0.000 0.500 Cl
```


Here is LaPtCl2 after structural relaxation from the Alexandria database. Energies are from PBE.

Properties
Formation energy from raw total energies, eV per atom: -1.0010
Magnetic moment, μB per cell: 0.0
ΔE to the lowest computed polymorph, meV per atom: 264
DOS(E_F), states/eV/f.u.: 7.6

The structure in POSCAR format:
```
LaPtCl2
1.0
0.000 3.509 3.509
3.509 0.000 3.509
3.509 3.509 0.000
Pt La Cl
1 1 2
direct
0.500 0.500 0.500 Pt
0.000 0.000 0.000 La
0.250 0.250 0.250 Cl
0.750 0.750 0.750 Cl
```


Here is LaPt2Cl after structural relaxation from the Alexandria database. Energies are from PBE.

Properties
Formation energy from raw total energies, eV per atom: -0.7381
Magnetic moment, μB per cell: 0.0
ΔE to the lowest computed polymorph, meV per atom: 354
DOS(E_F), states/eV/f.u.: 3.5

The structure in POSCAR format:
```
LaPt2Cl
1.0
-2.709 -0.785 -2.906
1.244 -3.858 -0.118
-3.709 -1.312 3.812
La Pt Cl
1 2 1
direct
0.500 0.500 0.750 La
0.000 0.000 0.993 Pt
0.000 0.000 0.507 Pt
0.500 0.500 0.250 Cl
```


> Which value of DOS(E_F) does entry 3 give?

7.7 states/eV/f.u.